A geometry-optimized SbSe2S structure. Source: Alexandria, functional GGA-PBE.

a = 4.925 Å, b = 4.925 Å, c = 4.925 Å
α = 60.00°, β = 60.00°, γ = 60.00°
Fractional coordinates of all 4 atoms:
Se: 0.750 0.750 0.750
Se: 0.250 0.250 0.250
S: 0.000 0.000 0.000
Sb: 0.500 0.500 0.500

Output
electronic total energy	-13.4	eV per cell
total magnetic moment	0.0000	μB/atom
formation energy (no corrections)	0.45	eV/atom

---

A geometry-optimized SbSeS6 structure. Source: Alexandria, functional GGA-PBE.

a = 11.139 Å, b = 8.343 Å, c = 8.343 Å
α = 96.91°, β = 44.67°, γ = 135.33°
Fractional coordinates of all 8 atoms:
S: 0.117 0.897 0.729
S: 0.117 0.271 0.103
S: 0.391 0.754 0.246
S: 0.960 0.655 0.345
S: 0.629 0.429 0.032
S: 0.629 0.968 0.571
Sb: 0.650 0.156 0.844
Se: 0.005 0.869 0.131

Output
electronic total energy	-31.2	eV per cell
total magnetic moment	0.0000	μB/atom
formation energy (no corrections)	0.15	eV/atom

---

A geometry-optimized Sb3Se3S structure. Source: Alexandria, functional GGA-PBE.

a = 7.834 Å, b = 7.499 Å, c = 14.958 Å
α = 93.54°, β = 90.00°, γ = 90.00°
Fractional coordinates of all 28 atoms:
Sb: 0.947 0.019 0.382
Sb: 0.655 0.504 0.753
Sb: 0.845 0.504 0.253
Sb: 0.457 0.306 0.470
Sb: 0.447 0.981 0.118
Sb: 0.957 0.694 0.030
Sb: 0.553 0.019 0.882
Sb: 0.043 0.306 0.970
Sb: 0.543 0.694 0.530
Sb: 0.155 0.496 0.747
Sb: 0.345 0.496 0.247
Sb: 0.053 0.981 0.618
Se: 0.331 0.398 0.889
Se: 0.366 0.755 0.697
Se: 0.134 0.755 0.197
Se: 0.302 0.250 0.639
Se: 0.669 0.602 0.111
Se: 0.198 0.250 0.139
Se: 0.831 0.602 0.611
Se: 0.866 0.245 0.803
Se: 0.802 0.750 0.861
Se: 0.169 0.398 0.389
Se: 0.634 0.245 0.303
Se: 0.698 0.750 0.361
S: 0.179 0.872 0.473
S: 0.821 0.128 0.527
S: 0.321 0.872 0.973
S: 0.679 0.128 0.027

Output
electronic total energy	-112.7	eV per cell
total magnetic moment	0.0000	μB/atom
formation energy (no corrections)	-0.18	eV/atom

---

A geometry-optimized Sb3Se2S4 structure. Source: Alexandria, functional GGA-PBE.

a = 3.656 Å, b = 3.656 Å, c = 21.586 Å
α = 90.00°, β = 90.00°, γ = 120.00°
Fractional coordinates of all 9 atoms:
S: 0.000 0.000 0.571
S: 0.000 0.000 0.728
S: 0.667 0.333 0.410
S: 0.667 0.333 0.253
Sb: 0.667 0.333 0.650
Sb: 0.000 0.000 0.331
Sb: 0.000 0.000 0.978
Se: 0.667 0.333 0.065
Se: 0.667 0.333 0.891

Output
electronic total energy	-34.8	eV per cell
total magnetic moment	0.0000	μB/atom
formation energy (no corrections)	0.12	eV/atom

---

A geometry-optimized SbSe2S2 structure. Source: Alexandria, functional GGA-PBE.

a = 8.608 Å, b = 8.608 Å, c = 3.140 Å
α = 90.00°, β = 90.00°, γ = 90.00°
Fractional coordinates of all 10 atoms:
Se: 0.247 0.253 0.000
Se: 0.753 0.747 0.000
Se: 0.747 0.247 0.000
Se: 0.253 0.753 0.000
S: 0.104 0.604 0.500
S: 0.604 0.896 0.500
S: 0.396 0.104 0.500
S: 0.896 0.396 0.500
Sb: 0.500 0.500 0.000
Sb: 0.000 0.000 0.000

Output
electronic total energy	-35.0	eV per cell
total magnetic moment	0.0000	μB/atom
formation energy (no corrections)	0.37	eV/atom

---

A geometry-optimized Sm4SbSeS2 structure. Source: Alexandria, functional GGA-PBE.

a = 4.151 Å, b = 7.290 Å, c = 7.186 Å
α = 70.83°, β = 90.00°, γ = 90.00°
Fractional coordinates of all 8 atoms:
Sm: 0.500 0.227 0.753
Sm: 0.000 0.777 0.735
Sm: 0.000 0.223 0.265
Sm: 0.500 0.773 0.247
Se: 0.000 0.500 0.500
S: 0.500 0.000 0.500
S: 0.000 0.000 0.000
Sb: 0.500 0.500 0.000

Output
electronic total energy	-48.7	eV per cell
total magnetic moment	0.0000	μB/atom
formation energy (no corrections)	-1.74	eV/atom

---

A geometry-optimized Sm4Sb2SeS structure. Source: Alexandria, functional GGA-PBE.

a = 4.296 Å, b = 7.416 Å, c = 7.434 Å
α = 70.41°, β = 90.00°, γ = 90.00°
Fractional coordinates of all 8 atoms:
Sb: 0.000 0.000 0.000
Sb: 0.500 0.000 0.500
Sm: 0.500 0.266 0.751
Sm: 0.000 0.270 0.238
Sm: 0.500 0.734 0.249
Sm: 0.000 0.730 0.762
Se: 0.000 0.500 0.500
S: 0.500 0.500 0.000

Output
electronic total energy	-47.0	eV per cell
total magnetic moment	0.0000	μB/atom
formation energy (no corrections)	-1.53	eV/atom

---

A geometry-optimized Sm6Sb3SeS2 structure. Source: Alexandria, functional GGA-PBE.

a = 7.402 Å, b = 7.402 Å, c = 7.398 Å
α = 99.63°, β = 99.63°, γ = 119.89°
Fractional coordinates of all 12 atoms:
Sm: 0.735 0.735 0.227
Sm: 0.077 0.418 0.231
Sm: 0.418 0.077 0.231
Sm: 0.265 0.265 0.773
Sm: 0.582 0.923 0.769
Sm: 0.923 0.582 0.769
S: 0.333 0.667 0.000
S: 0.667 0.333 0.000
Se: 0.000 0.000 0.000
Sb: 0.500 0.500 0.500
Sb: 0.837 0.163 0.500
Sb: 0.163 0.837 0.500

Output
electronic total energy	-70.9	eV per cell
total magnetic moment	0.0000	μB/atom
formation energy (no corrections)	-1.54	eV/atom

---

> Number 1 is which compound?

SbSe2S

---

> Which of these has the lowest formation energy (no corrections)?

Sm4SbSeS2

---

> Look up the total magnetic moment of the sixth one.

0.0000 μB/atom

---

> Number 7 is which compound?

Sm4Sb2SeS